# 1
This record from Alexandria via LeMat-Bulk describes a relaxed structure of CsGeMo2. The functional is GGA-PBE.

DFT formation energy   1.69 eV/atom
Space-group type   No. 122
Crystal system   tetragonal

a b c (Å): 7.917 7.917 6.320
angles (deg): 51.22 51.22 90.00
Element x y z (fractional)
Mo  0.375  0.447  0.750
Ge  0.500  0.500  0.000
Cs  0.000  0.000  0.000
Mo  0.553  0.125  0.250
Mo  0.875  0.803  0.750
Ge  0.250  0.750  0.500
Cs  0.750  0.250  0.500
Mo  0.197  0.625  0.250

=====

# 2
This record from Alexandria via LeMat-Bulk describes a relaxed structure of Pr4TlSb2. The functional is GGA-PBE.

Space-group type   No. 11
Crystal system   monoclinic
E_form (uncorrected)   -0.61 eV per atom

a b c (Å): 6.240 6.897 10.671
angles (deg): 90.00 103.56 90.00
Element x y z (fractional)
Pr  0.529  0.983  0.253
Sb  0.398  0.250  0.003
Pr  0.529  0.517  0.253
Pr  0.844  0.250  0.533
Pr  0.958  0.250  0.143
Pr  0.042  0.750  0.857
Tl  0.958  0.250  0.826
Pr  0.471  0.483  0.747
Pr  0.156  0.750  0.467
Pr  0.471  0.017  0.747
Sb  0.602  0.750  0.997
Sb  0.293  0.250  0.450
Tl  0.042  0.750  0.174
Sb  0.707  0.750  0.550

=====

# 3
This record from Alexandria via LeMat-Bulk describes a relaxed structure of NaCoTcAs2. The functional is GGA-PBE.

DFT formation energy   -0.28 eV/atom
Space-group type   No. 119
Crystal system   tetragonal

a b c (Å): 4.032 4.032 6.225
angles (deg): 108.89 108.89 90.00
Element x y z (fractional)
As  0.367  0.367  0.734
Na  0.000  0.000  0.000
Tc  0.750  0.250  0.500
Co  0.250  0.750  0.500
As  0.633  0.633  0.266

=====

| no. | calculated volume (Å³ per cell) |
| --- | --- |
| 1 | 184 |
| 2 | 446 |
| 3 | 90 |